Entry from the Alexandria database: Re2WCl after structural relaxation (GGA-PBE).

The structure in POSCAR format:
```
Re2WCl
1.0
4.550 0.009 0.000
-0.011 4.550 0.000
0.000 0.000 2.982
Re W Cl
2 1 1
Cartesian
2.269 2.280 0.000
0.000 0.000 0.000
2.275 0.005 1.491
-0.006 2.275 1.491
```

Uncorrected formation energy ... 1.104 eV per atom
Distance to the lowest polymorph of the same formula ... 650.7 meV/atom
Crystal system ... tetragonal
DOS(E_F) ... 3.0 states/eV/f.u.
SG ... P4/mmm (123)

***

Entry from the Alexandria database: LiNi2Pt2 after structural relaxation (GGA-PBE).

The structure in POSCAR format:
```
LiNi2Pt2
1.0
7.355 0.000 0.000
0.000 7.355 0.000
0.000 0.000 2.683
Pt Ni Li
4 4 2
Cartesian
2.663 6.340 0.000
1.015 2.663 0.000
4.692 1.015 0.000
6.340 4.692 0.000
6.167 2.490 1.341
1.188 4.865 1.341
4.865 6.167 1.341
2.490 1.188 1.341
0.000 0.000 0.000
3.677 3.677 0.000
```

Energy relative to the elements ... -12 kJ per mole of atoms
Distance to the lowest polymorph of the same formula ... 29.2 meV/atom
Crystal system ... tetragonal
DOS(E_F) ... 5.0 states/eV/f.u.
SG ... P4/mbm (127)

***

Entry from the Alexandria database: HgRu2W after structural relaxation (GGA-PBE).

The structure in POSCAR format:
```
HgRu2W
1.0
4.798 -0.003 -0.003
3.948 2.727 -0.003
0.912 0.284 4.968
Hg W Ru
1 1 2
Cartesian
7.243 2.256 3.721
2.414 0.752 1.240
4.908 1.529 2.295
8.667 2.699 0.180
```

Energy relative to the elements ... 40 kJ per mole of atoms
Distance to the lowest polymorph of the same formula ... 197.0 meV/atom
Crystal system ... monoclinic
DOS(E_F) ... 3.7 states/eV/f.u.
SG ... C2/m (12)

***

Entry from the Alexandria database: K2AsRh after structural relaxation (GGA-PBE).

The structure in POSCAR format:
```
K2AsRh
1.0
-1.230 -3.974 0.777
0.599 -1.796 3.785
-8.561 1.382 4.206
Rh K As
1 2 1
Cartesian
-3.550 -2.603 4.044
-5.933 -3.720 6.302
-1.593 -5.347 4.840
-3.342 -0.684 2.528
```

Energy relative to the elements ... -23 kJ per mole of atoms
Crystal system ... monoclinic
DOS(E_F) ... 3.9 states/eV/f.u.
SG ... Cm (8)

***

Entry from the Alexandria database: LaInTc2 after structural relaxation (GGA-PBE).

The structure in POSCAR format:
```
LaInTc2
1.0
-2.616 1.185 2.176
-2.175 -2.615 -1.191
2.176 -3.991 4.788
In Tc La
1 2 1
Cartesian
-1.852 -1.713 1.690
0.141 -0.259 0.311
0.946 -1.736 2.083
-0.764 -3.708 4.083
```

Energy relative to the elements ... 33 kJ per mole of atoms
Crystal system ... tetragonal
DOS(E_F) ... 4.3 states/eV/f.u.
SG ... P4/mmm (123)

***

Entry from the Alexandria database: Nb2Ga2Sn after structural relaxation (GGA-PBE).

The structure in POSCAR format:
```
Nb2Ga2Sn
1.0
-0.971 5.961 4.036
-6.518 -2.456 2.060
1.529 -1.675 2.841
Ga Nb Sn
4 4 2
Cartesian
-0.635 0.757 3.113
-3.728 -1.488 3.455
-5.326 1.074 5.824
-2.232 3.319 5.483
-2.522 -0.110 1.293
-1.480 3.446 2.828
-6.009 0.059 3.268
-4.967 3.615 4.803
-3.745 1.753 3.048
0.000 0.000 0.000
```

Energy relative to the elements ... -7 kJ per mole of atoms
Distance to the lowest polymorph of the same formula ... 0.0 meV/atom
Crystal system ... tetragonal
DOS(E_F) ... 3.2 states/eV/f.u.
SG ... P4/mbm (127)

***

Entry from the Alexandria database: Mg6Ga2Hg after structural relaxation (GGA-PBE).

The structure in POSCAR format:
```
Mg6Ga2Hg
1.0
-2.659 -3.770 0.209
4.839 -3.560 -2.644
1.367 2.272 7.591
Mg Ga Hg
6 2 1
Cartesian
-0.896 -1.929 4.977
-0.077 -2.806 -0.580
2.055 -1.373 1.483
1.492 -3.686 3.673
4.443 -3.129 0.178
2.257 -4.523 -1.855
1.913 -4.132 0.919
1.633 -0.926 4.236
0.000 0.000 0.000
```

Energy relative to the elements ... -9 kJ per mole of atoms
Distance to the lowest polymorph of the same formula ... 0.0 meV/atom
Crystal system ... monoclinic
DOS(E_F) ... 3.6 states/eV/f.u.
SG ... C2/m (12)

***

Entry from the Alexandria database: Tm2ZnGa2Pd5 after structural relaxation (GGA-PBE).

The structure in POSCAR format:
```
Tm2ZnGa2Pd5
1.0
-3.418 -0.723 0.686
2.387 -9.456 1.925
1.430 2.308 9.562
Pd Ga Tm Zn
10 4 4 2
Cartesian
1.549 -5.731 10.919
0.602 -5.967 5.951
-0.437 0.964 8.084
-0.203 -1.904 6.222
0.618 -3.988 8.118
0.836 -8.835 4.089
-0.516 -5.089 1.305
-1.150 -2.141 1.254
-0.994 0.792 5.124
-0.219 -3.884 4.055
1.197 0.251 6.232
2.744 -3.906 9.560
1.073 -3.242 1.927
2.620 -7.399 5.255
1.857 -5.969 2.958
0.881 -0.889 3.455
1.961 -1.179 8.530
2.936 -6.259 8.033
0.000 0.000 0.000
1.909 -3.574 5.744
```

Energy relative to the elements ... -69 kJ per mole of atoms
Crystal system ... tetragonal
DOS(E_F) ... 5.3 states/eV/f.u.
SG ... P4/mbm (127)

***

Entry from the Alexandria database: RbOs2Au after structural relaxation (GGA-PBE).

The structure in POSCAR format:
```
RbOs2Au
1.0
4.662 0.000 0.000
0.000 4.662 0.000
2.331 2.331 9.738
Rb Au Os
2 2 4
Cartesian
2.331 4.662 4.869
2.331 2.331 0.000
0.000 0.000 0.000
4.662 2.331 4.869
3.496 2.584 7.303
4.409 1.165 2.434
4.915 3.496 2.434
5.827 2.078 7.303
```

Energy relative to the elements ... 131 kJ per mole of atoms
Distance to the lowest polymorph of the same formula ... 0.0 meV/atom
Crystal system ... tetragonal
DOS(E_F) ... 3.8 states/eV/f.u.
SG ... I-42d (122)

***

Entry from the Alexandria database: MgScTc3 after structural relaxation (GGA-PBE).

The structure in POSCAR format:
```
MgScTc3
1.0
-0.829 -0.965 -4.464
4.566 -0.273 -0.789
-0.099 -4.532 0.998
Tc Sc Mg
3 1 1
Cartesian
-0.049 -2.266 0.499
-0.414 -0.482 -2.232
2.283 -0.137 -0.394
0.000 0.000 0.000
1.819 -2.885 -2.127
```

Energy relative to the elements ... 151 kJ per mole of atoms
Distance to the lowest polymorph of the same formula ... 22.4 meV/atom
Crystal system ... cubic
DOS(E_F) ... 4.8 states/eV/f.u.
SG ... Pm-3m (221)

***

Entry from the Alexandria database: LaNd2Ho4 after structural relaxation (GGA-PBE).

The structure in POSCAR format:
```
LaNd2Ho4
1.0
3.606 0.000 0.000
1.803 3.123 0.000
1.803 1.041 20.413
Nd Ho La
2 4 1
Cartesian
3.606 2.082 14.553
3.606 2.082 5.859
1.803 1.041 2.950
5.409 3.123 8.791
1.803 1.041 11.622
5.409 3.123 17.463
0.000 0.000 0.000
```

Energy relative to the elements ... 1 kJ per mole of atoms
Distance to the lowest polymorph of the same formula ... 0.0 meV/atom
Crystal system ... trigonal
DOS(E_F) ... 7.9 states/eV/f.u.
SG ... R-3m (166)

***

Entry from the Alexandria database: ErFeSi2Ru after structural relaxation (GGA-PBE).

The structure in POSCAR format:
```
ErFeSi2Ru
1.0
-3.370 1.968 1.082
-1.249 -3.264 2.047
4.515 2.266 2.362
Fe Si Er Ru
1 2 1 1
Cartesian
-0.583 1.793 2.504
-1.737 -0.227 2.584
1.632 1.198 2.906
0.000 0.000 0.000
0.478 -0.823 2.986
```

Uncorrected formation energy ... -0.772 eV per atom
Crystal system ... tetragonal
DOS(E_F) ... 3.8 states/eV/f.u.
SG ... I-4m2 (119)